No. 1
First-principles (GGA-PBE) data for ReTcSeN2 after structural relaxation, as listed in the Alexandria database.

## Properties
- size of the total moment (μB/f.u.) = 3.81
- electronic total energy (Ry per atom) = -0.5670
- excess energy over the best structure of this formula in the dataset (eV per formula unit) = 0.000
- formation energy from raw total energies (meV per atom) = 875

```
data_ReTcSeN2
_cell_length_a 3.8395
_cell_length_b 3.8395
_cell_length_c 5.4287
_cell_angle_alpha 90.00
_cell_angle_beta 90.00
_cell_angle_gamma 90.00
_symmetry_space_group_name_H-M 'P 4/m m m'
_symmetry_Int_Tables_number 123
_symmetry_space_group_name_Hall '-P 4 2'
loop_
_atom_site_label
_atom_site_fract_x
_atom_site_fract_y
_atom_site_fract_z
_atom_site_occupancy
Re1 0.0000 0.0000 0.0000 1
Tc1 0.5000 0.5000 0.5000 1
Se1 0.0000 0.0000 0.5000 1
N1 0.0000 0.5000 0.0000 1
```

No. 2
First-principles (GGA-PBE) data for ReTcSeN2 after structural relaxation, as listed in the Alexandria database.

## Properties
- size of the total moment (μB/f.u.) = 3.67
- electronic total energy (Ry per atom) = -0.5365
- excess energy over the best structure of this formula in the dataset (eV per formula unit) = 2.078
- formation energy from raw total energies (meV per atom) = 1291

```
data_ReTcSeN2
_cell_length_a 3.8208
_cell_length_b 3.8208
_cell_length_c 5.4235
_cell_angle_alpha 90.00
_cell_angle_beta 90.00
_cell_angle_gamma 90.00
_symmetry_space_group_name_H-M 'P 4/m m m'
_symmetry_Int_Tables_number 123
_symmetry_space_group_name_Hall '-P 4 2'
loop_
_atom_site_label
_atom_site_fract_x
_atom_site_fract_y
_atom_site_fract_z
_atom_site_occupancy
Re1 0.0000 0.0000 0.0000 1
Tc1 0.5000 0.5000 0.5000 1
Se1 0.5000 0.5000 0.0000 1
N1 0.0000 0.5000 0.5000 1
```

No. 3
First-principles (GGA-PBE) data for ReTeSeN2 after structural relaxation, as listed in the Alexandria database.

## Properties
- size of the total moment (μB/f.u.) = 2.84
- electronic total energy (Ry per atom) = -0.3655
- excess energy over the best structure of this formula in the dataset (eV per formula unit) = 8.251
- formation energy from raw total energies (meV per atom) = 2172

```
data_ReTeSeN2
_cell_length_a 3.7944
_cell_length_b 3.7944
_cell_length_c 7.0639
_cell_angle_alpha 90.00
_cell_angle_beta 90.00
_cell_angle_gamma 90.00
_symmetry_space_group_name_H-M 'P 4/m m m'
_symmetry_Int_Tables_number 123
_symmetry_space_group_name_Hall '-P 4 2'
loop_
_atom_site_label
_atom_site_fract_x
_atom_site_fract_y
_atom_site_fract_z
_atom_site_occupancy
Re1 0.0000 0.0000 0.0000 1
Te1 0.5000 0.5000 0.0000 1
Se1 0.5000 0.5000 0.5000 1
N1 0.0000 0.5000 0.5000 1
```

> Among the records above, which one has the lowest electronic total energy?

number 1

> Among the records above, which one has the highest electronic total energy?

ReTeSeN2

> Which of these has the lowest size of the total moment?

ReTeSeN2